Entry 1:
Entry from Alexandria: an optimized crystal structure of Ac2ZnCo (GGA-PBE).

Output
**Energy**: -17.07 eV per cell
**Calculated formation energy**: -0.1188 eV/atom
**Magnetization**: 0.00 μB/f.u.

The structure in POSCAR format:
```
Ac2ZnCo
1.0
-1.5000 -1.5420 -3.3917
-3.9817 -2.1142 0.3440
-5.5928 5.0448 -2.1982
Ac Zn Co
2 1 1
direct
0.8630 0.7077 0.5664
0.7068 0.4942 0.0921
0.4751 0.2210 0.8287
0.1654 0.8390 0.8301
```

***

Entry 2:
Entry from Alexandria: an optimized crystal structure of Ac12Zn5Co3 (GGA-PBE).

Output
**Energy**: -280.59 eV per cell
**Calculated formation energy**: 0.3421 eV/atom
**Magnetization**: 0.00 μB/f.u.

The structure in POSCAR format:
```
Ac12Zn5Co3
1.0
-11.4721 10.5165 -1.5221
-0.8486 -10.3662 -11.6767
-1.5144 -7.4224 13.6798
Co Zn Ac
12 20 48
direct
0.7500 0.3750 0.1250
0.8750 0.7500 0.1250
0.3750 0.7500 0.6250
0.2500 0.1250 0.3750
0.8750 0.1250 0.2500
0.3750 0.6250 0.2500
0.6250 0.3750 0.7500
0.1250 0.8750 0.7500
0.7500 0.8750 0.6250
0.6250 0.2500 0.3750
0.1250 0.2500 0.8750
0.2500 0.6250 0.8750
0.1250 0.3750 0.2500
0.0000 0.5000 0.0000
0.0000 0.0000 0.0000
0.3750 0.2500 0.1250
0.5000 0.0000 0.5000
0.5000 0.5000 0.0000
0.1250 0.7500 0.3750
0.7500 0.1250 0.8750
0.7500 0.6250 0.3750
0.3750 0.1250 0.7500
0.6250 0.8750 0.2500
0.5000 0.5000 0.5000
0.5000 0.0000 0.0000
0.0000 0.0000 0.5000
0.2500 0.3750 0.6250
0.2500 0.8750 0.1250
0.0000 0.5000 0.5000
0.8750 0.2500 0.6250
0.6250 0.7500 0.8750
0.8750 0.6250 0.7500
0.7328 0.1272 0.0618
0.3290 0.5618 0.4346
0.9382 0.3728 0.2672
0.5618 0.2328 0.1272
0.6056 0.7328 0.6710
0.9382 0.5654 0.1710
0.3290 0.7672 0.3944
0.0654 0.8944 0.1272
0.5654 0.9382 0.6710
0.7328 0.6056 0.1710
0.7672 0.4382 0.3728
0.8290 0.9346 0.0618
0.1272 0.7328 0.5618
0.3728 0.4346 0.1056
0.1056 0.9346 0.3728
0.3944 0.1272 0.5654
0.1056 0.1710 0.2328
0.4382 0.6710 0.0654
0.8290 0.8944 0.2672
0.1272 0.3944 0.0654
0.3728 0.9382 0.7672
0.5654 0.6272 0.3944
0.9346 0.8290 0.5618
0.7672 0.3290 0.8944
0.4346 0.3728 0.6056
0.0654 0.1710 0.4382
0.2328 0.6710 0.1056
0.1710 0.1056 0.7328
0.6272 0.0618 0.2328
0.8728 0.6056 0.9346
0.5618 0.3290 0.9346
0.6056 0.8728 0.4346
0.8944 0.8290 0.7672
0.8944 0.0654 0.6272
0.8728 0.2672 0.4382
0.1710 0.0654 0.9382
0.6272 0.5654 0.8944
0.4346 0.0618 0.3290
0.2672 0.3944 0.8290
0.2328 0.5618 0.6272
0.9346 0.1056 0.8728
0.6710 0.2328 0.6056
0.4382 0.7672 0.8728
0.0618 0.4346 0.8290
0.3944 0.2672 0.3290
0.0618 0.6272 0.7328
0.6710 0.4382 0.5654
0.2672 0.8728 0.9382
```

***

Entry 3:
Entry from Alexandria: an optimized crystal structure of Ac5ZnCo2 (GGA-PBE).

Output
**Energy**: -72.62 eV per cell
**Calculated formation energy**: -0.0354 eV/atom
**Magnetization**: 0.00 μB/f.u.

The structure in POSCAR format:
```
Ac5ZnCo2
1.0
7.4557 0.0000 -3.5195
-1.6614 7.2682 -3.5195
-0.1932 -0.2423 9.2476
Ac Zn Co
10 2 4
direct
0.5280 0.7055 0.7335
0.7945 0.9720 0.2665
0.0000 0.0000 0.0000
0.5000 0.5000 0.0000
0.2055 0.0280 0.7335
0.7055 0.2055 0.7335
0.0280 0.5280 0.7335
0.2945 0.7945 0.2665
0.9720 0.4720 0.2665
0.4720 0.2945 0.2665
0.7500 0.7500 0.5000
0.2500 0.2500 0.5000
0.1346 0.3654 0.0000
0.6346 0.1346 0.0000
0.3654 0.8654 0.0000
0.8654 0.6346 0.0000
```

***

Entry 4:
Entry from Alexandria: an optimized crystal structure of Ac6ZnCo3 (GGA-PBE).

Output
**Energy**: -95.04 eV per cell
**Calculated formation energy**: -0.0277 eV/atom
**Magnetization**: 0.00 μB/f.u.

The structure in POSCAR format:
```
Ac6ZnCo3
1.0
4.2641 0.0000 0.0000
0.0000 12.4368 -4.2808
0.0000 -0.9203 12.3249
Ac Zn Co
12 2 6
direct
0.7500 0.4328 0.5963
0.2500 0.5672 0.4037
0.7500 0.9319 0.0821
0.2500 0.0681 0.9179
0.7500 0.3942 0.0667
0.2500 0.6058 0.9333
0.7500 0.7126 0.2467
0.2500 0.2874 0.7533
0.7500 0.1150 0.4572
0.2500 0.8850 0.5428
0.7500 0.7681 0.7449
0.2500 0.2319 0.2551
0.7500 0.0725 0.7118
0.2500 0.9275 0.2882
0.7500 0.4457 0.8370
0.2500 0.5543 0.1630
0.7500 0.7261 0.4925
0.2500 0.2739 0.5075
0.7500 0.1616 0.0904
0.2500 0.8384 0.9096
```

***

Entry 5:
Entry from Alexandria: an optimized crystal structure of Ac4ZnCo2 (GGA-PBE).

Output
**Energy**: -64.40 eV per cell
**Calculated formation energy**: -0.0398 eV/atom
**Magnetization**: 0.00 μB/f.u.

The structure in POSCAR format:
```
Ac4ZnCo2
1.0
-2.3915 -2.0396 -2.8560
0.6188 -4.4633 5.8268
-11.8565 5.8570 5.7455
Ac Co Zn
8 4 2
direct
0.7674 0.5349 0.1099
0.7674 0.5349 0.3901
0.2326 0.4651 0.8901
0.2326 0.4651 0.6099
0.9368 0.8735 0.7500
0.0632 0.1265 0.2500
0.5000 0.0000 0.0000
0.5000 0.0000 0.5000
0.1304 0.2608 0.4351
0.8696 0.7392 0.9351
0.1304 0.2608 0.0649
0.8696 0.7392 0.5649
0.6148 0.2296 0.7500
0.3852 0.7704 0.2500
```

***

Entry 6:
Entry from Alexandria: an optimized crystal structure of Ac8Zn2Co (GGA-PBE).

Output
**Energy**: -43.15 eV per cell
**Calculated formation energy**: -0.0573 eV/atom
**Magnetization**: 0.00 μB/f.u.

The structure in POSCAR format:
```
Ac8Zn2Co
1.0
-3.1124 -1.3971 2.2563
5.8250 -7.3366 3.4924
3.9846 7.1110 6.1923
Ac Zn Co
8 2 1
direct
0.5934 0.5155 0.1868
0.3504 0.9994 0.7009
0.2255 0.3343 0.4510
0.9925 0.8017 0.9851
0.7745 0.6657 0.5490
0.6496 0.0006 0.2991
0.4066 0.4845 0.8132
0.0075 0.1983 0.0149
0.1600 0.7459 0.3200
0.8400 0.2541 0.6800
0.5000 0.0000 0.0000
```